No. 1
First-principles (PBE-GGA) data for a relaxed structure of Ti2Cu4Pt3, as listed in Alexandria.

Computed properties:
Total energy, Ry/atom: -0.44800
Volume, Å³/atom: 14.06

Cell: 8.768 3.770 8.229 Å, 90.00 111.51 90.00°
Space group C2/m (No. 12)
One atom of each set of equivalent atoms:
Ti: 0.167 0.000 0.228 x4
Cu: 0.007 0.500 0.674 x4
Cu: 0.168 0.000 0.895 x4
Pt: 0.000 0.500 0.000 x2
Pt: 0.171 0.000 0.569 x4

---

No. 2
First-principles (PBE-GGA) data for a relaxed structure of Ti2CuPt, as listed in Alexandria.

Computed properties:
Total energy, Ry/atom: -0.48450
Volume, Å³/atom: 16.26

Cell: 7.084 7.084 5.183 Å, 90.00 90.00 90.00°
Space group I-42d (No. 122)
One atom of each set of equivalent atoms:
Ti: 0.243 0.250 0.125 x8
Cu: 0.000 0.000 0.500 x4
Pt: 0.000 0.000 0.000 x4

---

No. 3
First-principles (PBE-GGA) data for a relaxed structure of TiCuPt, as listed in Alexandria.

Computed properties:
Volume, Å³/atom: 14.61
Excess energy over the best structure of this formula in the dataset, meV/atom: 66

Cell: 4.3182 4.3182 2.7143 Å, 90.00 90.00 120.00°
Space group P3m1 (No. 156)
One atom of each set of equivalent atoms:
Ti: 0.0000 0.0000 0.0000 x1
Cu: 0.3333 0.6667 0.6431 x1
Pt: 0.6667 0.3333 0.3704 x1